# GGA-PBE InGaSi2Mo, optimized geometry
# Electronic total energy: -5.06 eV/atom
# M_tot: 0.00 μB/atom
# Uncorrected formation energy: 0.4319 eV/atom
data_InGaSi2Mo
_chemical_formula_sum 'In1 Ga1 Si2 Mo1'
_cell_length_a 4.751
_cell_length_b 4.751
_cell_length_c 5.321
_cell_angle_alpha 90.00
_cell_angle_beta 90.00
_cell_angle_gamma 90.00
_space_group_name_H-M_alt 'P 4/m m m'
_space_group_IT_number 123
_space_group_name_Hall '-P 4 2'
loop_
_atom_site_label
_atom_site_type_symbol
_atom_site_fract_x
_atom_site_fract_y
_atom_site_fract_z
In1 In 0.000 0.000 0.000
Ga1 Ga 0.500 0.500 0.000
Si1 Si 0.000 0.500 0.500
Mo1 Mo 0.000 0.000 0.500



# GGA-PBE LaZr3N, optimized geometry
# Electronic total energy: -8.22 eV/atom
# E above lowest polymorph: 0.00 eV/f.u.
# M_tot: 0.00 μB/atom
# Uncorrected formation energy: -0.4424 eV/atom
data_LaZr3N
_chemical_formula_sum 'La1 Zr3 N1'
_cell_length_a 4.688
_cell_length_b 4.688
_cell_length_c 4.688
_cell_angle_alpha 90.00
_cell_angle_beta 90.00
_cell_angle_gamma 90.00
_space_group_name_H-M_alt 'P m -3 m'
_space_group_IT_number 221
_space_group_name_Hall '-P 4 2 3'
loop_
_atom_site_label
_atom_site_type_symbol
_atom_site_fract_x
_atom_site_fract_y
_atom_site_fract_z
La1 La 0.000 0.000 0.000
Zr1 Zr 0.000 0.500 0.500
N1 N 0.500 0.500 0.500



# GGA-PBE PrNdPuO6, optimized geometry
# Electronic total energy: -8.92 eV/atom
# M_tot: 0.22 μB/atom
# Uncorrected formation energy: -2.9605 eV/atom
data_PrNdPuO6
_chemical_formula_sum 'Pr2 Nd2 Pu2 O12'
_cell_length_a 5.9330
_cell_length_b 5.9330
_cell_length_c 9.6669
_cell_angle_alpha 90.00
_cell_angle_beta 90.00
_cell_angle_gamma 120.00
_space_group_name_H-M_alt 'P -3 1 c'
_space_group_IT_number 163
_space_group_name_Hall '-P 3 2c'
loop_
_atom_site_label
_atom_site_type_symbol
_atom_site_fract_x
_atom_site_fract_y
_atom_site_fract_z
Pr1 Pr 0.0000 0.0000 0.0000
Nd1 Nd 0.3333 0.6667 0.2500
Pu1 Pu 0.3333 0.6667 0.7500
O1 O 0.0377 0.3683 0.6353



# GGA-PBE Rb2ErAg2Cl6, optimized geometry
# Electronic total energy: -3.60 eV/atom
# M_tot: 0.09 μB/atom
# Uncorrected formation energy: -1.4862 eV/atom
data_Rb2ErAg2Cl6
_chemical_formula_sum 'Rb4 Er2 Ag4 Cl12'
_cell_length_a 12.871
_cell_length_b 7.790
_cell_length_c 8.498
_cell_angle_alpha 90.00
_cell_angle_beta 120.71
_cell_angle_gamma 90.00
_space_group_name_H-M_alt 'C 1 2/m 1'
_space_group_IT_number 12
_space_group_name_Hall '-C 2y'
loop_
_atom_site_label
_atom_site_type_symbol
_atom_site_fract_x
_atom_site_fract_y
_atom_site_fract_z
Rb1 Rb 0.212 0.000 0.160
Er1 Er 0.000 0.000 0.500
Ag1 Ag 0.055 0.500 0.186
Cl1 Cl 0.065 0.232 0.760
Cl2 Cl 0.219 0.000 0.551



Look up the M_tot of the first one. 0.00 μB/atom